# DyNi2Pd2

An optimized crystal structure of DyNi2Pd2 (GGA-PBE, the Open Quantum Materials Database).

It has space group P4/nmm (No. 129, origin choice 2), with a = 3.858 Å, b = 3.858 Å, c = 11.204 Å, α = 90.00°, β = 90.00° and γ = 90.00°. The asymmetric unit holds Dy at (0.250, 0.250, 0.242), Ni at (0.250, 0.250, 0.853), Ni at (0.250, 0.750, 0.500), Pd at (0.250, 0.250, 0.641) and Pd at (0.250, 0.750, 0.000).

The calculation puts the formation enthalpy at 0 K at -0.3059 eV per atom. For the final energy, the calculation gives -5.5234 eV/atom. The calculation puts the magnetization at 0.884 μB/f.u.

# DySi2NiPd

An optimized crystal structure of DySi2NiPd (GGA-PBE, the Open Quantum Materials Database).

It has space group I-4m2 (No. 119), with a = 4.056 Å, b = 4.056 Å, c = 9.820 Å, α = 90.00°, β = 90.00° and γ = 90.00°. The asymmetric unit holds Dy at (0.000, 0.000, 0.000), Si at (0.000, 0.000, 0.380), Ni at (0.000, 0.500, 0.750) and Pd at (0.000, 0.500, 0.250).

For the final energy, the calculation gives -6.1146 eV/atom. The calculation puts the magnetization at 0.002 μB/f.u.

# Dy3NiSn3Pd2

An optimized crystal structure of Dy3NiSn3Pd2 (GGA-PBE, the Open Quantum Materials Database).

It has space group P-62m (No. 189), with a = 7.5156 Å, b = 7.5156 Å, c = 3.9204 Å, α = 90.00°, β = 90.00° and γ = 120.00°. The asymmetric unit holds Dy at (0.0000, 0.4038, 0.0000), Ni at (0.0000, 0.0000, 0.0000), Sn at (0.0000, 0.7506, 0.5000) and Pd at (0.3333, 0.6667, 0.5000).

For the final energy, the calculation gives -5.5112 eV/atom. The calculation puts the magnetization at 0.002 μB/f.u.

- Look up the magnetization of the second one.
  0.002 μB/f.u.

Copy entry 1 word for word.
# DyNi2Pd2

An optimized crystal structure of DyNi2Pd2 (GGA-PBE, the Open Quantum Materials Database).

It has space group P4/nmm (No. 129, origin choice 2), with a = 3.858 Å, b = 3.858 Å, c = 11.204 Å, α = 90.00°, β = 90.00° and γ = 90.00°. The asymmetric unit holds Dy at (0.250, 0.250, 0.242), Ni at (0.250, 0.250, 0.853), Ni at (0.250, 0.750, 0.500), Pd at (0.250, 0.250, 0.641) and Pd at (0.250, 0.750, 0.000).

The calculation puts the formation enthalpy at 0 K at -0.3059 eV per atom. For the final energy, the calculation gives -5.5234 eV/atom. The calculation puts the magnetization at 0.884 μB/f.u.

Please write out number 1 again, unchanged.
# DyNi2Pd2

An optimized crystal structure of DyNi2Pd2 (GGA-PBE, the Open Quantum Materials Database).

It has space group P4/nmm (No. 129, origin choice 2), with a = 3.858 Å, b = 3.858 Å, c = 11.204 Å, α = 90.00°, β = 90.00° and γ = 90.00°. The asymmetric unit holds Dy at (0.250, 0.250, 0.242), Ni at (0.250, 0.250, 0.853), Ni at (0.250, 0.750, 0.500), Pd at (0.250, 0.250, 0.641) and Pd at (0.250, 0.750, 0.000).

The calculation puts the formation enthalpy at 0 K at -0.3059 eV per atom. For the final energy, the calculation gives -5.5234 eV/atom. The calculation puts the magnetization at 0.884 μB/f.u.